(1)
# KCdAs2, relaxed, DFT GGA-PBE
data_KCdAs2
_chemical_formula_sum 'K4 Cd4 As8'
_space_group_name_H-M_alt 'F -4 3 m'
_space_group_IT_number 216
_space_group_name_Hall 'F -4 2 3'
_cell_length_a 7.3403
_cell_length_b 7.3403
_cell_length_c 7.3403
_cell_angle_alpha 90.00
_cell_angle_beta 90.00
_cell_angle_gamma 90.00
loop_
_atom_site_label
_atom_site_fract_x
_atom_site_fract_y
_atom_site_fract_z
_atom_site_occupancy
K1 0.0000 0.0000 0.0000 1
Cd1 0.2500 0.2500 0.7500 1
As1 0.0000 0.0000 0.5000 1
As2 0.2500 0.2500 0.2500 1
# * raw total energy: -41.91 eV/cell

---

(2)
# TmPuI6, relaxed, DFT GGA-PBE
data_TmPuI6
_chemical_formula_sum 'Tm3 Pu3 I18'
_space_group_name_H-M_alt 'R -3'
_space_group_IT_number 148
_space_group_name_Hall '-R 3'
_cell_length_a 7.6334
_cell_length_b 7.6334
_cell_length_c 21.0404
_cell_angle_alpha 90.00
_cell_angle_beta 90.00
_cell_angle_gamma 120.00
loop_
_atom_site_label
_atom_site_fract_x
_atom_site_fract_y
_atom_site_fract_z
_atom_site_occupancy
Tm1 0.0000 0.0000 0.0000 1
Pu1 0.0000 0.0000 0.5000 1
I1 0.0054 0.3459 0.7478 1
# * polymorph energy (0 for the lowest one): 0.055 eV per atom
# * raw total energy: -111.88 eV/cell
# * raw formation energy: -111 kJ/mol of atoms

---

(3)
# NiRhBr4, relaxed, DFT GGA-PBE
data_NiRhBr4
_chemical_formula_sum 'Ni1 Rh1 Br4'
_space_group_name_H-M_alt 'P 1 2/m 1'
_space_group_IT_number 10
_cell_length_a 6.4459
_cell_length_b 3.7711
_cell_length_c 6.9035
_cell_angle_alpha 90.00
_cell_angle_beta 107.73
_cell_angle_gamma 90.00
loop_
_space_group_symop_operation_xyz
'x,y,z'
'-x,-y,-z'
'-x,y,-z'
'x,-y,z'
loop_
_atom_site_label
_atom_site_fract_x
_atom_site_fract_y
_atom_site_fract_z
_atom_site_occupancy
Ni1 0.0000 0.0000 0.0000 1
Rh1 0.5000 0.5000 0.0000 1
Br1 0.2408 0.5000 0.2084 1
Br2 0.2635 0.0000 0.7847 1
# * polymorph energy (0 for the lowest one): 0.000 eV per atom
# * raw total energy: -21.36 eV/cell
# * raw formation energy: -25 kJ/mol of atoms

---

(4)
# Ti2AsBr, relaxed, DFT GGA-PBE
data_Ti2AsBr
_chemical_formula_sum 'Ti8 As4 Br4'
_space_group_name_H-M_alt 'I -4 2 d'
_space_group_IT_number 122
_space_group_name_Hall 'I -4 2bw'
_cell_length_a 5.3354
_cell_length_b 5.3354
_cell_length_c 13.9714
_cell_angle_alpha 90.00
_cell_angle_beta 90.00
_cell_angle_gamma 90.00
loop_
_atom_site_label
_atom_site_fract_x
_atom_site_fract_y
_atom_site_fract_z
_atom_site_occupancy
Ti1 0.2323 0.2500 0.1250 1
As1 0.0000 0.0000 0.0000 1
Br1 0.0000 0.0000 0.5000 1
# * polymorph energy (0 for the lowest one): 0.291 eV per atom
# * raw total energy: -90.67 eV/cell
# * raw formation energy: -13 kJ/mol of atoms

---

(5)
# K2FeMoPd, relaxed, DFT GGA-PBE
data_K2FeMoPd
_chemical_formula_sum 'K2 Fe1 Mo1 Pd1'
_space_group_name_H-M_alt 'P 4/m m m'
_space_group_IT_number 123
_space_group_name_Hall '-P 4 2'
_cell_length_a 6.1202
_cell_length_b 6.1202
_cell_length_c 4.2730
_cell_angle_alpha 90.00
_cell_angle_beta 90.00
_cell_angle_gamma 90.00
loop_
_atom_site_label
_atom_site_fract_x
_atom_site_fract_y
_atom_site_fract_z
_atom_site_occupancy
K1 0.0000 0.5000 0.0000 1
Fe1 0.0000 0.0000 0.0000 1
Mo1 0.0000 0.0000 0.5000 1
Pd1 0.5000 0.5000 0.5000 1
# * raw total energy: -19.13 eV/cell

---

(6)
# LaTlGaAu, relaxed, DFT GGA-PBE
data_LaTlGaAu
_chemical_formula_sum 'La4 Tl4 Ga4 Au4'
_space_group_name_H-M_alt 'F -4 3 m'
_space_group_IT_number 216
_space_group_name_Hall 'F -4 2 3'
_cell_length_a 7.3114
_cell_length_b 7.3114
_cell_length_c 7.3114
_cell_angle_alpha 90.00
_cell_angle_beta 90.00
_cell_angle_gamma 90.00
loop_
_atom_site_label
_atom_site_fract_x
_atom_site_fract_y
_atom_site_fract_z
_atom_site_occupancy
La1 0.0000 0.0000 0.0000 1
Tl1 0.0000 0.0000 0.5000 1
Ga1 0.2500 0.2500 0.2500 1
Au1 0.2500 0.2500 0.7500 1
# * raw total energy: -62.03 eV/cell

---

Among the records above, which one has the lowest raw total energy?
TmPuI6